Here is Tl2VGe after structural relaxation from Alexandria via LeMat-Bulk. Energies are from GGA-PBE.

Structure (POSCAR):
```
Tl2VGe
1.0
0.0000 3.5846 3.5846
3.5846 0.0000 3.5846
3.5846 3.5846 0.0000
Tl Ge V
2 1 1
Direct
0.2500 0.2500 0.2500 Tl
0.7500 0.7500 0.7500 Tl
0.5000 0.5000 0.5000 Ge
0.0000 0.0000 0.0000 V
```

Calculated values
**Energy relative to the elements**: 579.0 meV per atom
**Offset from the most stable computed form**: 0.044 eV per atom
**Space group**: Fm-3m (225)